ZrZnW2Se (PBE, relaxed); formation energy without anion corrections = 10.10 eV per formula unit; VASP energy = -5.822 eV/atom; DOS(E_F) = 6.64 states/eV/cell
1.0
4.987 0.000 0.000
0.000 4.987 0.000
0.000 0.000 5.032
Zr Zn W Se
1 1 2 1
direct
0.000 0.000 0.000 Zr
0.500 0.500 0.500 Zn
0.000 0.500 0.000 W
0.500 0.000 0.000 W
0.000 0.000 0.500 Se